The following is a PBE-GGA calculation of a relaxed In2CuHgCl crystal, from the Alexandria database.

The calculated total energy comes out at -2.529 eV per atom. The uncorrected formation energy is -0.93 eV per formula unit. The calculation puts the density at 6.527 g cm⁻³. The space group is P4/mmm, No. 123.

abc: 5.146 5.146 5.085
angles: 90.00 90.00 90.00
Atoms (fractional coordinates):
In1 0.500 0.000 0.000
In2 0.000 0.500 0.000
Cu1 0.000 0.000 0.000
Cl1 0.500 0.500 0.500
Hg1 0.000 0.000 0.500


The following is a PBE-GGA calculation of a relaxed K2CuHgCl5 crystal, from the Alexandria database.

The calculated total energy comes out at -2.923 eV per atom. The uncorrected formation energy is -10.48 eV per formula unit. The calculation puts the density at 3.490 g cm⁻³. The space group is Cmc2_1, No. 36.

abc: 4.121 9.314 13.210
angles: 90.00 90.00 102.78
Atoms (fractional coordinates):
Cl1 0.648 0.296 0.513
Cl2 0.710 0.420 0.167
Cl3 0.495 0.991 0.777
Cl4 0.505 0.009 0.277
Cl5 0.691 0.381 0.880
Cl6 0.309 0.619 0.380
Cl7 0.938 0.875 0.514
Cl8 0.352 0.704 0.013
Cl9 0.290 0.580 0.667
Cl10 0.062 0.125 0.014
Hg1 0.210 0.420 0.027
Hg2 0.790 0.580 0.527
K1 0.887 0.775 0.196
K2 0.870 0.740 0.824
K3 0.130 0.260 0.324
K4 0.113 0.225 0.696
Cu1 0.555 0.110 0.926
Cu2 0.445 0.890 0.426


The following is a PBE-GGA calculation of a relaxed KCuHgCl5 crystal, from the Alexandria database.

The calculated total energy comes out at -2.710 eV per atom. The uncorrected formation energy is -6.95 eV per formula unit. The calculation puts the density at 3.507 g cm⁻³. The space group is C2/c, No. 15.

abc: 7.459 7.459 9.508
angles: 102.26 102.26 111.68
Last column: magnetic moment on the atom in μB.
Atoms (fractional coordinates):
Cl1 0.289 0.405 0.568  0.10
Cl2 0.595 0.711 0.932  0.10
Cl3 0.711 0.595 0.432  0.10
Cl4 0.080 0.920 0.250  0.02
Cl5 0.703 0.126 0.398  0.08
Cl6 0.405 0.289 0.068  0.10
Cl7 0.874 0.297 0.102  0.08
Cl8 0.297 0.874 0.602  0.08
Cl9 0.920 0.080 0.750  0.02
Cl10 0.126 0.703 0.898  0.08
Cu1 0.323 0.677 0.750  0.49
Cu2 0.677 0.323 0.250  0.49
K1 0.661 0.339 0.750  0.00
K2 0.339 0.661 0.250  0.00
Hg1 0.000 0.000 0.000  0.01
Hg2 0.000 0.000 0.500  0.01


The following is a PBE-GGA calculation of a relaxed K3CuHg2Cl9 crystal, from the Alexandria database.

The calculated total energy comes out at -2.714 eV per atom. The uncorrected formation energy is -16.10 eV per formula unit. The calculation puts the density at 3.607 g cm⁻³. The space group is P-3m1, No. 164.

abc: 7.303 7.303 8.981
angles: 90.00 90.00 120.00
Last column: magnetic moment on the atom in μB.
Atoms (fractional coordinates):
K1 0.000 0.000 0.000  0.00
K2 0.667 0.333 0.335  0.00
K3 0.333 0.667 0.665  0.00
Cl1 0.500 0.500 0.000  0.01
Cl2 0.500 0.000 0.000  0.01
Cl3 0.684 0.842 0.344  0.03
Cl4 0.316 0.158 0.656  0.03
Cl5 0.842 0.684 0.656  0.03
Cl6 0.158 0.316 0.344  0.03
Cl7 0.158 0.842 0.344  0.03
Cl8 0.842 0.158 0.656  0.03
Cl9 0.000 0.500 0.000  0.01
Hg1 0.667 0.333 0.818  0.01
Hg2 0.333 0.667 0.182  0.01
Cu1 0.000 0.000 0.500  0.26


The following is a PBE-GGA calculation of a relaxed K2Cu2HgCl6 crystal, from the Alexandria database.

The calculated total energy comes out at -3.001 eV per atom. The uncorrected formation energy is -11.24 eV per formula unit. The calculation puts the density at 3.388 g cm⁻³. The space group is C2/m, No. 12.

abc: 7.344 7.347 7.492
angles: 115.68 90.00 119.98
Atoms (fractional coordinates):
Cl1 0.249 0.498 0.362
Cl2 0.193 0.885 0.194
Cl3 0.691 0.885 0.194
Cl4 0.807 0.115 0.806
Cl5 0.309 0.115 0.806
Cl6 0.751 0.502 0.638
K1 0.272 0.543 0.799
K2 0.728 0.457 0.201
Cu1 0.953 0.907 0.792
Cu2 0.047 0.093 0.208
Hg1 0.500 0.000 0.500


The following is a PBE-GGA calculation of a relaxed KCu4Hg3Cl12 crystal, from the Alexandria database.

The calculated total energy comes out at -2.673 eV per atom. The uncorrected formation energy is -12.91 eV per formula unit. The calculation puts the density at 3.837 g cm⁻³. The space group is R32, No. 155.

abc: 8.727 8.727 8.727
angles: 105.75 105.75 105.75
Last column: magnetic moment on the atom in μB.
Atoms (fractional coordinates):
Hg1 0.437 0.000 0.563  0.00
Hg2 0.000 0.563 0.437  0.00
Hg3 0.563 0.437 0.000  0.00
Cu1 0.923 0.077 0.500  0.20
Cu2 0.077 0.500 0.923  0.20
Cu3 0.500 0.500 0.500  0.15
Cu4 0.500 0.923 0.077  0.20
Cl1 0.500 0.087 0.913  0.04
Cl2 0.765 0.021 0.649  0.02
Cl3 0.342 0.658 0.500  0.02
Cl4 0.658 0.500 0.342  0.02
Cl5 0.649 0.765 0.021  0.02
Cl6 0.087 0.913 0.500  0.04
Cl7 0.021 0.649 0.765  0.02
Cl8 0.913 0.500 0.087  0.04
Cl9 0.979 0.235 0.351  0.02
Cl10 0.235 0.351 0.979  0.02
Cl11 0.500 0.342 0.658  0.02
Cl12 0.351 0.979 0.235  0.02
K1 0.000 0.000 0.000  0.00


The following is a PBE-GGA calculation of a relaxed KCuHgCl6 crystal, from the Alexandria database.

The calculated total energy comes out at -2.581 eV per atom. The uncorrected formation energy is -6.65 eV per formula unit. The calculation puts the density at 3.245 g cm⁻³. The space group is P312, No. 149.

abc: 6.670 6.670 6.854
angles: 90.00 90.00 60.00
Last column: magnetic moment on the atom in μB.
Atoms (fractional coordinates):
Cl1 0.610 0.355 0.706  0.17
Cl2 0.355 0.036 0.706  0.17
Cl3 0.610 0.036 0.294  0.17
Cl4 0.035 0.610 0.706  0.17
Cl5 0.355 0.610 0.294  0.17
Cl6 0.036 0.355 0.294  0.17
Cu1 0.333 0.333 0.500  0.73
Hg1 0.667 0.667 0.500  0.01
K1 0.000 0.000 0.000  0.00


The following is a PBE-GGA calculation of a relaxed Li2CuHgCl6 crystal, from the Alexandria database.

The calculated total energy comes out at -2.945 eV per atom. The uncorrected formation energy is -10.15 eV per formula unit. The calculation puts the density at 3.340 g cm⁻³. The space group is P1, No. 1.

abc: 7.496 6.693 8.023
angles: 53.94 54.98 52.83
Last column: magnetic moment on the atom in μB.
Atoms (fractional coordinates):
Cl1 0.630 0.222 0.312  0.01
Cl2 0.680 0.126 0.791  0.10
Cl3 0.053 0.395 0.770  0.01
Cl4 0.282 0.932 0.253  0.09
Cl5 0.964 0.574 0.230  0.09
Cl6 0.355 0.727 0.751  0.10
Cu1 0.312 0.333 0.013  0.49
Hg1 0.847 0.808 0.536  0.01
Li1 0.963 0.008 0.921  0.00
Li2 0.575 0.536 0.439  0.00